Compound: Pu2Cu5Pt5
Source: the Alexandria database
Functional: PBE-GGA
Structure: optimized geometry

Cell: 4.360 5.103 9.095 Å, 90.00 90.00 90.00°
Site moments in Bohr magnetons follow the coordinates.
Atoms (fractional coordinates):
1 Cu 0.500 0.750 0.257  -0.01
2 Cu 0.500 0.250 0.257  -0.01
3 Cu 0.500 0.250 0.743  -0.01
4 Cu 0.500 0.500 0.500  0.00
5 Cu 0.500 0.750 0.743  -0.01
6 Pt 0.000 0.000 0.178  -0.12
7 Pt 0.000 0.500 0.336  -0.09
8 Pt 0.500 0.000 0.000  -0.10
9 Pt 0.000 0.500 0.664  -0.09
10 Pt 0.000 0.000 0.822  -0.12
11 Pu 0.000 0.500 0.000  5.07
12 Pu 0.000 0.000 0.500  5.00

* total moment: 0.832 μB per atom
* ΔE_f: -9.7 kcal/mol of atoms